Record 1
## Tm2BeGaIr2 (PBE-GGA)

Data for a relaxed structure of Tm2BeGaIr2.

The space group is Ibam (No. 72) and the conventional cell measures 5.654, 13.506 and 5.645 Å, with angles of 90.00, 90.00 and 90.00 degrees. The distinct sites, in fractional coordinates, are Tm at (0.231, 0.172, 0.000), Be at (0.000, 0.500, 0.250), Ga at (0.000, 0.000, 0.250) and Ir at (0.215, 0.391, 0.000).

The value obtained for the spin magnetization is 0.00 μB/f.u. For the total energy, the calculation gives -0.232 Ha/atom. As for the formation energy: -0.7453 eV per atom.



Record 2
## LiHoTm2 (PBE-GGA)

Data for a relaxed structure of LiHoTm2.

The space group is R3m (No. 160, hexagonal axes) and the conventional cell measures 3.4572, 3.4572 and 33.1057 Å, with angles of 90.00, 90.00 and 120.00 degrees. The distinct sites, in fractional coordinates, are Li at (0.0000, 0.0000, 0.0000), Ho at (0.0000, 0.0000, 0.1662), Tm at (0.0000, 0.0000, 0.5850) and Tm at (0.0000, 0.0000, 0.7477).

The value obtained for the spin magnetization is 0.00 μB/f.u. As for the energy above the lowest structure with this stoichiometry: 0.10 eV/f.u. For the total energy, the calculation gives -0.138 Ha/atom. As for the formation energy: 0.1001 eV per atom.



Record 3
## NiBr (PBE-GGA)

Data for a relaxed structure of NiBr.

The space group is P6_3mc (No. 186) and the conventional cell measures 3.8628, 3.8628 and 6.5896 Å, with angles of 90.00, 90.00 and 120.00 degrees. The distinct sites, in fractional coordinates, are Ni at (0.3333, 0.6667, 0.0000) and Br at (0.3333, 0.6667, 0.3625).

The value obtained for the spin magnetization is 0.95 μB/f.u. The value obtained for the energy relative to the elements, uncorrected is 0.11 eV per atom. For the total energy, the calculation gives -0.133 Ha/atom.



Record 4
## CdHg8 (PBE-GGA)

Data for a relaxed structure of CdHg8.

The space group is I4/mmm (No. 139) and the conventional cell measures 9.444, 9.444 and 5.412 Å, with angles of 90.00, 90.00 and 90.00 degrees. The distinct sites, in fractional coordinates, are Cd at (0.000, 0.000, 0.000), Hg at (0.000, 0.331, 0.000) and Hg at (0.166, 0.166, 0.500).

The value obtained for the spin magnetization is 0.00 μB/f.u. As for the energy above the lowest structure with this stoichiometry: 0.00 eV/f.u. For the total energy, the calculation gives -0.013 Ha/atom. As for the formation energy: 0.0246 eV per atom.



Ordered DOS(E_F) results: 0.542 0.990 1.363 0.297; unit states/eV per atom.